1.
First-principles (SCAN) data for a crystal of CoTe2P relaxed with PBEsol, as listed in Alexandria via LeMat-Bulk.

- total DFT energy (no corrections) (Ry per atom) = -1.8279
- total moment (μB per formula unit) = 0.00
- ΔE_f (raw) (eV per atom) = 0.68
- space-group type = P4/mmm (123)
- mass density (g/cm³) = 7.85

a b c (Å): 3.2505 3.2505 6.9094
angles (deg): 90.00 90.00 90.00
Element x y z (fractional)
Co (0.0000, 0.0000, 0.0000)
Te (0.5000, 0.5000, 0.2257)
Te (0.5000, 0.5000, 0.7743)
P (0.0000, 0.0000, 0.5000)

=====

2.
First-principles (SCAN) data for a crystal of FeMo2H2 relaxed with PBEsol, as listed in Alexandria via LeMat-Bulk.

- total DFT energy (no corrections) (Ry per atom) = -1.3817
- total moment (μB per formula unit) = 1.49
- space-group type = I4/mmm (139)
- mass density (g/cm³) = 9.07

a b c (Å): 6.1626 6.1626 6.1626
angles (deg): 153.74 153.74 37.47
Element x y z (fractional)
Fe (0.0000, 0.0000, 0.0000)
Mo (0.3590, 0.3590, 0.0000)
Mo (0.6410, 0.6410, 0.0000)
H (0.2500, 0.7500, 0.5000)
H (0.7500, 0.2500, 0.5000)

=====

3.
First-principles (SCAN) data for a crystal of K2LaBr relaxed with PBEsol, as listed in Alexandria via LeMat-Bulk.

- total DFT energy (no corrections) (Ry per atom) = -1.4712
- total moment (μB per formula unit) = 0.00
- offset from the most stable computed form (eV per atom) = 0.468
- ΔE_f (raw) (eV per atom) = -0.21
- space-group type = I4/mmm (139)
- mass density (g/cm³) = 3.22

a b c (Å): 7.8389 7.8389 7.8389
angles (deg): 145.58 145.58 49.47
Element x y z (fractional)
K (0.2500, 0.7500, 0.5000)
K (0.7500, 0.2500, 0.5000)
La (0.0000, 0.0000, 0.0000)
Br (0.5000, 0.5000, 0.0000)

=====

4.
First-principles (SCAN) data for a crystal of AlAgGe2B relaxed with PBEsol, as listed in Alexandria via LeMat-Bulk.

- total DFT energy (no corrections) (Ry per atom) = -1.1305
- total moment (μB per formula unit) = 0.00
- space-group type = P4/mmm (123)
- mass density (g/cm³) = 4.30
- ΔE_f (eV/f.u.) = 7.8

a b c (Å): 4.8719 4.8719 4.7378
angles (deg): 90.00 90.00 90.00
Element x y z (fractional)
Al (0.0000, 0.0000, 0.0000)
Ag (0.0000, 0.0000, 0.5000)
Ge (0.0000, 0.5000, 0.5000)
Ge (0.5000, 0.0000, 0.5000)
B (0.5000, 0.5000, 0.0000)

=====

5.
First-principles (SCAN) data for a crystal of Ho3TlC relaxed with PBEsol, as listed in Alexandria via LeMat-Bulk.

- total DFT energy (no corrections) (Ry per atom) = -3.2609
- total moment (μB per formula unit) = 0.00
- space-group type = Pm-3m (221)
- mass density (g/cm³) = 7.11
- ΔE_f (eV/f.u.) = 7.6

a b c (Å): 5.4959 5.4959 5.4959
angles (deg): 90.00 90.00 90.00
Element x y z (fractional)
Ho (0.0000, 0.0000, 0.5000)
Ho (0.0000, 0.5000, 0.0000)
Ho (0.5000, 0.0000, 0.0000)
Tl (0.0000, 0.0000, 0.0000)
C (0.5000, 0.5000, 0.5000)

=====

6.
First-principles (SCAN) data for a crystal of GeTe2Ir relaxed with PBEsol, as listed in Alexandria via LeMat-Bulk.

- total DFT energy (no corrections) (Ry per atom) = -2.9845
- total moment (μB per formula unit) = 0.00
- ΔE_f (raw) (eV per atom) = 0.57
- space-group type = R-3m (166)
- mass density (g/cm³) = 9.78

a b c (Å): 11.3644 11.3644 11.3644
angles (deg): 15.23 15.23 15.23
Element x y z (fractional)
Ge (0.0000, 0.0000, 0.0000)
Te (0.4241, 0.4241, 0.4241)
Te (0.5759, 0.5759, 0.5759)
Ir (0.5000, 0.5000, 0.5000)

=====

7.
First-principles (SCAN) data for a crystal of KMo2Ru relaxed with PBEsol, as listed in Alexandria via LeMat-Bulk.

- total DFT energy (no corrections) (Ry per atom) = -1.9659
- total moment (μB per formula unit) = 0.00
- offset from the most stable computed form (eV per atom) = 0.521
- space-group type = Cmmm (65)
- mass density (g/cm³) = 8.15
- ΔE_f (eV/f.u.) = 5.9

a b c (Å): 5.5970 5.5970 2.5737
angles (deg): 90.00 90.00 122.94
Element x y z (fractional)
K (0.0000, 0.0000, 0.0000)
Mo (0.0000, 0.5000, 0.5000)
Mo (0.5000, 0.0000, 0.5000)
Ru (0.5000, 0.5000, 0.0000)

=====

8.
First-principles (SCAN) data for a crystal of MgGe2TeP relaxed with PBEsol, as listed in Alexandria via LeMat-Bulk.

- total DFT energy (no corrections) (Ry per atom) = -1.2562
- total moment (μB per formula unit) = 0.00
- ΔE_f (raw) (eV per atom) = 1.07
- space-group type = P4/mmm (123)
- mass density (g/cm³) = 3.69

a b c (Å): 5.3711 5.3711 5.1166
angles (deg): 90.00 90.00 90.00
Element x y z (fractional)
Mg (0.0000, 0.0000, 0.0000)
Ge (0.0000, 0.5000, 0.5000)
Ge (0.5000, 0.0000, 0.5000)
Te (0.0000, 0.0000, 0.5000)
P (0.5000, 0.5000, 0.0000)

=====

Among the records above, which one has the highest total moment?
FeMo2H2

=====

Please write out number 3 again, unchanged.
First-principles (SCAN) data for a crystal of K2LaBr relaxed with PBEsol, as listed in Alexandria via LeMat-Bulk.

- total DFT energy (no corrections) (Ry per atom) = -1.4712
- total moment (μB per formula unit) = 0.00
- offset from the most stable computed form (eV per atom) = 0.468
- ΔE_f (raw) (eV per atom) = -0.21
- space-group type = I4/mmm (139)
- mass density (g/cm³) = 3.22

a b c (Å): 7.8389 7.8389 7.8389
angles (deg): 145.58 145.58 49.47
Element x y z (fractional)
K (0.2500, 0.7500, 0.5000)
K (0.7500, 0.2500, 0.5000)
La (0.0000, 0.0000, 0.0000)
Br (0.5000, 0.5000, 0.0000)